(1)
# PmHoIrRh

A geometry-optimized PmHoIrRh structure (GGA-PBE, Alexandria via LeMat-Bulk).

## Properties
ΔE_f ... -0.7743 eV/atom
Theoretical density ... 12.1 g cm⁻³

The structure in extended XYZ format:
```
4
Lattice="-1.193 -2.636 3.956 -1.592 -4.607 -0.513 2.838 -3.744 1.398" Properties=species:S:1:pos:R:3 pbc="T T T"
Pm 0.000 0.000 0.000
Rh 0.039 -8.240 3.630
Ho 0.026 -5.493 2.420
Ir 0.013 -2.747 1.210
```


(2)
# YHoAs

A geometry-optimized YHoAs structure (GGA-PBE, Alexandria via LeMat-Bulk).

## Properties
ΔE_f ... -0.8766 eV/atom
Theoretical density ... 6.2 g cm⁻³

The structure in extended XYZ format:
```
3
Lattice="-1.315 -6.024 -1.717 2.133 0.481 -3.323 1.754 -1.328 3.315" Properties=species:S:1:pos:R:3 pbc="T T T"
Y 1.033 -4.580 -2.381
As -0.002 -0.008 -0.002
Ho 1.540 -2.282 0.658
```


(3)
# In2CoBH

A geometry-optimized In2CoBH structure (GGA-PBE, Alexandria via LeMat-Bulk).

## Properties
Relative energy among the computed polymorphs ... 0 meV per atom
Theoretical density ... 7.4 g cm⁻³

The structure in extended XYZ format:
```
5
Lattice="-2.073 -4.030 -1.709 -0.710 -0.777 2.692 -4.213 2.350 -0.432" Properties=species:S:1:pos:R:3 pbc="T T T"
H -0.355 -0.388 1.346
In -2.106 1.175 -0.216
B 0.000 0.000 0.000
In -1.036 -2.015 -0.855
Co -3.498 -1.228 0.275
```


(4)
# CsNa2LiBi

A geometry-optimized CsNa2LiBi structure (GGA-PBE, Alexandria via LeMat-Bulk).

## Properties
ΔE_f ... -0.1421 eV/atom
Relative energy among the computed polymorphs ... 73 meV per atom
Theoretical density ... 3.4 g cm⁻³

The structure in extended XYZ format:
```
5
Lattice="5.998 0.000 0.000 0.000 5.998 0.000 0.000 0.000 5.313" Properties=species:S:1:pos:R:3 pbc="T T T"
Na 2.999 0.000 0.000
Li 0.000 0.000 0.000
Cs 2.999 2.999 2.656
Bi 0.000 0.000 2.656
Na 0.000 2.999 0.000
```


(5)
# TiSbPF2

A geometry-optimized TiSbPF2 structure (GGA-PBE, Alexandria via LeMat-Bulk).

## Properties
Raw formation energy ... -4.5 eV per formula unit
Theoretical density ... 4.7 g cm⁻³

The structure in extended XYZ format:
```
5
Lattice="3.916 0.000 0.000 0.000 5.551 0.000 0.000 0.000 3.916" Properties=species:S:1:pos:R:3 pbc="T T T"
F 1.958 0.000 0.000
Sb 1.958 2.775 1.958
P 0.000 0.000 0.000
Ti 0.000 2.775 0.000
F 0.000 0.000 1.958
```


(6)
# TbNiPb

A geometry-optimized TbNiPb structure (GGA-PBE, Alexandria via LeMat-Bulk).

## Properties
ΔE_f ... -0.3297 eV/atom
Theoretical density ... 10.3 g cm⁻³

The structure in extended XYZ format:
```
6
Lattice="-0.170 4.288 1.714 -3.711 -2.743 0.264 4.864 -2.123 5.795" Properties=species:S:1:pos:R:3 pbc="T T T"
Tb -0.842 1.392 2.664
Pb 0.000 0.000 0.000
Tb 1.823 -1.970 5.109
Ni 0.043 0.439 5.136
Pb 2.347 1.083 3.755
Ni 0.939 -1.017 2.637
```


(7)
# Al4C3

A geometry-optimized Al4C3 structure (GGA-PBE, Alexandria via LeMat-Bulk).

## Properties
ΔE_f ... -0.0907 eV/atom
Relative energy among the computed polymorphs ... 0 meV per atom
Theoretical density ... 2.9 g cm⁻³

The structure in extended XYZ format:
```
7
Lattice="8.591 -0.001 0.000 7.936 3.289 0.000 7.936 1.579 2.885" Properties=species:S:1:pos:R:3 pbc="T T T"
C 0.000 0.000 0.000
C 5.302 1.055 0.625
Al 7.180 1.429 0.847
Al 21.286 4.235 2.510
C 19.161 3.813 2.259
Al 3.178 0.632 0.375
Al 17.283 3.439 2.038
```


(8)
# La4Ru2Cl5

A geometry-optimized La4Ru2Cl5 structure (GGA-PBE, Alexandria via LeMat-Bulk).

## Properties
Raw formation energy ... -15.8 eV per formula unit
Theoretical density ... 4.2 g cm⁻³

The structure in extended XYZ format:
```
11
Lattice="2.211 8.790 0.376 -2.211 8.790 0.376 0.000 2.544 9.597" Properties=species:S:1:pos:R:3 pbc="T T T"
Cl 0.000 8.790 0.376
Cl 0.000 16.118 8.357
Cl 0.000 4.008 1.992
La 0.000 19.146 8.134
Ru 0.000 10.114 3.867
Cl 0.000 4.411 5.867
Cl 0.000 15.714 4.482
La 0.000 7.568 6.090
La 0.000 0.980 2.214
La 0.000 12.557 4.259
Ru 0.000 10.011 6.481
```